1.
The following is a DFT calculation (PBE-GGA) of Y2In3Hg after structural relaxation.

The calculation puts the density of states at the Fermi level at 3.440 states/eV per cell. For the energy above the lowest structure with this stoichiometry, the calculation gives 0 meV/atom.

The space group is Pmm2 (No. 25) and the conventional cell measures 3.579, 4.952 and 8.558 Å, with angles of 90.00, 90.00 and 90.00 degrees. The inequivalent atoms are Y at (0.000, 0.000, 0.000), Y at (0.000, 0.500, 0.499), In at (0.500, 0.000, 0.663), In at (0.500, 0.500, 0.168), In at (0.500, 0.500, 0.833) and Hg at (0.500, 0.000, 0.331).

***

2.
The following is a DFT calculation (PBE-GGA) of YPd8Au2 after structural relaxation.

The calculation puts the density of states at the Fermi level at 23.536 states/eV per cell. For the energy above the lowest structure with this stoichiometry, the calculation gives 0 meV/atom.

The space group is C2/m (No. 12) and the conventional cell measures 14.528, 4.092 and 6.411 Å, with angles of 90.00, 105.54 and 90.00 degrees. The inequivalent atoms are Y at (0.000, 0.000, 0.000), Pd at (0.046, 0.500, 0.723), Pd at (0.091, 0.000, 0.460), Pd at (0.137, 0.500, 0.186), Pd at (0.183, 0.000, 0.910) and Au at (0.227, 0.500, 0.640).

***

3.
The following is a DFT calculation (PBE-GGA) of Li2AcGa after structural relaxation.

The calculated total energy is -2.93 eV/atom. The calculation puts the density of states at the Fermi level at 35.005 states/eV per cell.

The space group is Immm (No. 71) and the conventional cell measures 4.801, 9.705 and 17.031 Å, with angles of 90.00, 90.00 and 90.00 degrees. The inequivalent atoms are Li at (0.000, 0.000, 0.073), Li at (0.000, 0.157, 0.307), Li at (0.000, 0.500, 0.095), Ac at (0.000, 0.240, 0.500), Ac at (0.000, 0.500, 0.297) and Ga at (0.000, 0.238, 0.146).

***

4.
The following is a DFT calculation (PBE-GGA) of Co2Sn8Au after structural relaxation.

The calculated total energy is -4.42 eV/atom. The calculation puts the density of states at the Fermi level at 13.618 states/eV per cell.

The space group is C2/m (No. 12) and the conventional cell measures 13.459, 8.457 and 4.863 Å, with angles of 90.00, 92.18 and 90.00 degrees. The inequivalent atoms are Co at (0.178, 0.000, 0.267), Sn at (0.090, 0.261, 0.202), Sn at (0.132, 0.500, 0.673), Sn at (0.199, 0.000, 0.773) and Au at (0.000, 0.000, 0.500).

***

5.
The following is a DFT calculation (PBE-GGA) of La2TaHg after structural relaxation.

The calculated total energy is -5.29 eV/atom. The calculation puts the density of states at the Fermi level at 3.447 states/eV per cell.

The space group is P4mm (No. 99) and the conventional cell measures 3.290, 3.290 and 10.021 Å, with angles of 90.00, 90.00 and 90.00 degrees. The inequivalent atoms are La at (0.000, 0.000, 0.000), La at (0.500, 0.500, 0.342), Ta at (0.000, 0.000, 0.574) and Hg at (0.500, 0.500, 0.762).

***

6.
The following is a DFT calculation (PBE-GGA) of SmTe2Pt after structural relaxation.

As for the energy relative to the elements, uncorrected: -285 meV/atom. The calculation puts the density of states at the Fermi level at 8.286 states/eV per cell.

The space group is R-3m (No. 166, hexagonal axes) and the conventional cell measures 3.9569, 3.9569 and 27.4344 Å, with angles of 90.00, 90.00 and 120.00 degrees. The inequivalent atoms are Sm at (0.0000, 0.0000, 0.0000), Te at (0.0000, 0.0000, 0.1133) and Pt at (0.0000, 0.0000, 0.5000).

***

7.
The following is a DFT calculation (PBE-GGA) of Hf2SnAs2 after structural relaxation.

The calculation puts the density of states at the Fermi level at 6.934 states/eV per cell. For the energy above the lowest structure with this stoichiometry, the calculation gives 0 meV/atom.

The space group is P4/mbm (No. 127) and the conventional cell measures 7.655, 7.655 and 3.516 Å, with angles of 90.00, 90.00 and 90.00 degrees. The inequivalent atoms are Hf at (0.151, 0.349, 0.000), Sn at (0.000, 0.000, 0.000) and As at (0.142, 0.642, 0.500).

***

8.
The following is a DFT calculation (PBE-GGA) of Ta3TcF after structural relaxation.

As for the energy relative to the elements, uncorrected: 246 meV/atom. The calculation puts the density of states at the Fermi level at 4.255 states/eV per cell. For the energy above the lowest structure with this stoichiometry, the calculation gives 0 meV/atom.

The space group is Pm-3m (No. 221) and the conventional cell measures 4.285, 4.285 and 4.285 Å, with angles of 90.00, 90.00 and 90.00 degrees. The inequivalent atoms are Ta at (0.000, 0.000, 0.500), Tc at (0.500, 0.500, 0.500) and F at (0.000, 0.000, 0.000).

***

9.
The following is a DFT calculation (PBE-GGA) of Pr3Mn5H12 after structural relaxation.

The calculated total energy is -5.14 eV/atom. The calculation puts the density of states at the Fermi level at 50.309 states/eV per cell.

The space group is Ia-3d (No. 230) and the conventional cell measures 11.704, 11.704 and 11.704 Å, with angles of 90.00, 90.00 and 90.00 degrees. The inequivalent atoms are Pr at (0.000, 0.250, 0.125), Mn at (0.000, 0.000, 0.000), Mn at (0.000, 0.250, 0.375) and H at (0.033, 0.048, 0.633).

***

10.
The following is a DFT calculation (PBE-GGA) of HoTh2P3Rh12 after structural relaxation.

The calculated total energy is -7.35 eV/atom. The calculation puts the density of states at the Fermi level at 49.978 states/eV per cell.

The space group is R-3m (No. 166, hexagonal axes) and the conventional cell measures 8.9329, 8.9329 and 13.3328 Å, with angles of 90.00, 90.00 and 120.00 degrees. The inequivalent atoms are Ho at (0.0000, 0.0000, 0.0000), Th at (0.0000, 0.0000, 0.3760), P at (0.0000, 0.5000, 0.5000), Rh at (0.0152, 0.5076, 0.3300) and Rh at (0.0354, 0.5177, 0.8741).

***

11.
The following is a DFT calculation (PBE-GGA) of Zr6PbN after structural relaxation.

As for the energy relative to the elements, uncorrected: -501 meV/atom. The calculation puts the density of states at the Fermi level at 17.944 states/eV per cell.

The space group is R-3 (No. 148, hexagonal axes) and the conventional cell measures 8.6986, 8.6986 and 7.7063 Å, with angles of 90.00, 90.00 and 120.00 degrees. The inequivalent atoms are Zr at (0.0814, 0.2507, 0.1553), Pb at (0.0000, 0.0000, 0.5000) and N at (0.0000, 0.0000, 0.0000).

***

12.
The following is a DFT calculation (PBE-GGA) of Pr2Zn5Ni5 after structural relaxation.

The calculation puts the density of states at the Fermi level at 9.626 states/eV per cell. For the energy above the lowest structure with this stoichiometry, the calculation gives 35 meV/atom.

The space group is Pmmm (No. 47) and the conventional cell measures 4.009, 5.240 and 9.097 Å, with angles of 90.00, 90.00 and 90.00 degrees. The inequivalent atoms are Pr at (0.000, 0.000, 0.000), Pr at (0.000, 0.500, 0.500), Zn at (0.000, 0.000, 0.325), Zn at (0.000, 0.500, 0.167), Zn at (0.500, 0.000, 0.500), Ni at (0.500, 0.252, 0.247) and Ni at (0.500, 0.500, 0.000).

***

no.,density (g cm⁻³)
1,7.91
2,12.07
3,5.20
4,7.59
5,10.09
6,8.04
7,10.08
8,13.93
9,5.88
10,10.58
11,7.58
12,7.84